[1]
Entry from Alexandria via LeMat-Bulk: a relaxed structure of Ag2Cl3 (PBE).

a = 6.6250 Å, b = 6.6250 Å, c = 7.1947 Å
α = 106.06°, β = 106.06°, γ = 112.87°
Positions (direct):
Ag: 0.0000 0.0000 0.0000
Ag: 0.1643 0.8363 0.4992
Ag: 0.4996 0.4996 0.5010
Ag: 0.8363 0.1643 0.4992
Cl: 0.0875 0.4170 0.2586
Cl: 0.2398 0.2398 0.7513
Cl: 0.4170 0.0875 0.2586
Cl: 0.5841 0.9139 0.7403
Cl: 0.7616 0.7616 0.2467
Cl: 0.9139 0.5841 0.7403

Values from the calculation:
Total moment (μB/cell): 0.5
Relative energy among the computed polymorphs (meV/atom): 1
Space group: No. 8
DFT total energy (eV per cell): -26.4
Formation energy without anion corrections (eV/f.u.): -1.9

***

[2]
Entry from Alexandria via LeMat-Bulk: a relaxed structure of TlAg4Pd5 (PBE).

a = 6.5196 Å, b = 6.5196 Å, c = 6.5196 Å
α = 99.43°, β = 99.43°, γ = 132.25°
Positions (direct):
Tl: 0.0000 0.0000 0.0000
Ag: 0.0918 0.8099 0.4033
Ag: 0.4066 0.6885 0.5967
Ag: 0.6885 0.0918 0.2819
Ag: 0.8099 0.4066 0.7181
Pd: 0.0121 0.1221 0.6213
Pd: 0.1221 0.5008 0.1101
Pd: 0.3908 0.0121 0.8899
Pd: 0.5008 0.3908 0.3787
Pd: 0.5219 0.5219 0.0000

Values from the calculation:
Total moment (μB/cell): 0.0
Space group: No. 79
DFT total energy (eV per cell): -38.0